# 1
VASP calculation (PBE) on a geometry-optimized HfMgTi2Sn structure.

```
5
Lattice="-1.807 3.820 -2.223 -3.275 0.546 3.600 3.056 2.815 2.353" Properties=species:S:1:pos:R:3 pbc="T T T"
Mg 0.000 0.000 0.000
Sn -1.638 0.273 1.800
Ti -0.903 1.910 -1.111
Ti 1.528 1.407 1.177
Hf -1.013 3.590 1.865
```

Values from the calculation:
Crystal system   tetragonal
DFT formation energy   1.037 eV/atom

# 2
VASP calculation (PBE) on a geometry-optimized Pm2TmAs3 structure.

```
6
Lattice="-0.454 0.238 -4.154 3.888 1.514 -0.339 1.425 -9.128 1.431" Properties=species:S:1:pos:R:3 pbc="T T T"
Pm 0.644 -1.706 -0.157
As 1.713 -4.513 -0.434
Tm 2.743 -7.214 -0.700
Pm 3.414 -3.596 -2.676
As 2.346 -0.789 -2.399
As 4.460 -6.339 -2.947
```

Values from the calculation:
Crystal system   tetragonal
DFT formation energy   -1.504 eV/atom

# 3
VASP calculation (PBE) on a geometry-optimized BaCr2Cd structure.

```
8
Lattice="-5.533 2.416 6.024 -6.347 -0.357 -5.686 -6.466 -2.132 0.954" Properties=species:S:1:pos:R:3 pbc="T T T"
Ba 0.000 0.000 0.000
Cd -5.940 1.030 0.169
Cr -6.597 -0.313 -2.211
Ba -8.969 0.657 3.573
Cr -9.674 -0.847 0.510
Cd -9.376 -0.729 -2.282
Cr -14.874 0.224 1.343
Cr -5.545 0.791 2.941
```

Values from the calculation:
Crystal system   tetragonal
DFT formation energy   0.928 eV/atom

# 4
VASP calculation (PBE) on a geometry-optimized Li2ZrSi2 structure.

```
10
Lattice="-2.627 -6.009 -3.144 6.500 -3.193 0.671 -0.784 -1.041 2.643" Properties=species:S:1:pos:R:3 pbc="T T T"
Si -0.832 -4.148 -1.880
Li 3.246 -7.195 -0.227
Li 3.515 -3.678 1.237
Zr 0.000 0.000 0.000
Li -0.426 -6.564 -1.067
Si 1.758 -7.255 -2.334
Si 4.705 -5.053 -0.594
Si 2.115 -1.946 -0.139
Zr 1.936 -4.601 -1.237
Li -0.157 -3.047 0.397
```

Values from the calculation:
Energy relative to the elements, uncorrected   -158.3 meV/atom
Crystal system   tetragonal

Number 1: calculated density 6.21 g cm⁻³. Number 2: calculated density 7.31 g cm⁻³. Number 3: calculated density 4.89 g cm⁻³. Number 4: calculated density 3.44 g cm⁻³.